No. 1
Material: ScBeIN2
Method: DFT, PBE
State: optimized geometry

Distance to the lowest polymorph of the same formula, eV per atom: 0.000
Raw formation energy, eV per atom: 0.821
Total magnetic moment, μB per formula unit: 0.001
SG: P4/mmm (123)

a b c (Å): 3.8201 3.8201 5.0225
angles (deg): 90.00 90.00 90.00
With the nearest neighbours (Å) after each atom.
Fractional coordinates of all 5 atoms:
I: 0.0000 0.0000 0.5000  2 Be 2.51, 4 Sc 2.70
Sc: 0.5000 0.5000 0.5000  4 I 2.70
Be: 0.0000 0.0000 0.0000  4 N 1.91
N: 0.0000 0.5000 0.0000  2 Be 1.91
N: 0.5000 0.0000 0.0000  2 Be 1.91

=====

No. 2
Material: ScBeIN2
Method: DFT, PBE
State: optimized geometry

Distance to the lowest polymorph of the same formula, eV per atom: 0.077
Raw formation energy, eV per atom: 0.898
Total magnetic moment, μB per formula unit: 0.000
SG: P4/mmm (123)

a b c (Å): 4.0164 4.0164 6.2429
angles (deg): 90.00 90.00 90.00
With the nearest neighbours (Å) after each atom.
Fractional coordinates of all 5 atoms:
I: 0.0000 0.0000 0.5000  4 Be 2.84, 2 Sc 3.12
Sc: 0.0000 0.0000 0.0000  4 N 2.01
Be: 0.5000 0.5000 0.5000  4 I 2.84
N: 0.0000 0.5000 0.0000  2 Sc 2.01
N: 0.5000 0.0000 0.0000  2 Sc 2.01

=====

No. 3
Material: ScBeI2N
Method: DFT, PBE
State: optimized geometry

Distance to the lowest polymorph of the same formula, eV per atom: 0.262
Raw formation energy, eV per atom: 0.373
Total magnetic moment, μB per formula unit: 1.296
SG: P4/mmm (123)

a b c (Å): 5.8685 5.8685 3.9793
angles (deg): 90.00 90.00 90.00
With the nearest neighbours (Å) after each atom.
Fractional coordinates of all 5 atoms:
I: 0.0000 0.5000 0.0000  2 Sc 2.93
I: 0.5000 0.0000 0.0000  2 Sc 2.93
Sc: 0.0000 0.0000 0.0000  2 N 1.99
Be: 0.5000 0.5000 0.5000  8 I 3.55
N: 0.0000 0.0000 0.5000  2 Sc 1.99

=====

No. 4
Material: ScBeI2N
Method: DFT, PBE
State: optimized geometry

Distance to the lowest polymorph of the same formula, eV per atom: 0.000
Raw formation energy, eV per atom: 0.111
Total magnetic moment, μB per formula unit: 0.000
SG: P4/mmm (123)

a b c (Å): 5.4896 5.4896 3.3579
angles (deg): 90.00 90.00 90.00
With the nearest neighbours (Å) after each atom.
Fractional coordinates of all 5 atoms:
I: 0.0000 0.5000 0.0000  2 Be 2.74
I: 0.5000 0.0000 0.0000  2 Be 2.74
Sc: 0.5000 0.5000 0.5000  8 I 3.22, 2 Sc 3.36
Be: 0.0000 0.0000 0.0000  2 N 1.68
N: 0.0000 0.0000 0.5000  2 Be 1.68

=====

No. 5
Material: BeSeIN2
Method: DFT, PBE
State: optimized geometry

Distance to the lowest polymorph of the same formula, eV per atom: 0.040
Raw formation energy, eV per atom: 1.517
Total magnetic moment, μB per formula unit: 1.847
SG: P4/mmm (123)

a b c (Å): 3.7584 3.7584 7.5578
angles (deg): 90.00 90.00 90.00
With the nearest neighbours (Å) after each atom.
Fractional coordinates of all 5 atoms:
I: 0.0000 0.0000 0.5000  4 Se 2.66
Be: 0.0000 0.0000 0.0000  4 N 1.88
Se: 0.5000 0.5000 0.5000  4 I 2.66
N: 0.0000 0.5000 0.0000  2 Be 1.88
N: 0.5000 0.0000 0.0000  2 Be 1.88

=====

No. 6
Material: BeSeIN2
Method: DFT, PBE
State: optimized geometry

Distance to the lowest polymorph of the same formula, eV per atom: 0.141
Raw formation energy, eV per atom: 1.619
Total magnetic moment, μB per formula unit: 0.000
SG: P4/mmm (123)

a b c (Å): 3.7496 3.7496 7.5210
angles (deg): 90.00 90.00 90.00
With the nearest neighbours (Å) after each atom.
Fractional coordinates of all 5 atoms:
I: 0.0000 0.0000 0.5000  4 Be 2.65
Be: 0.5000 0.5000 0.5000  4 I 2.65
Se: 0.0000 0.0000 0.0000  4 N 1.87
N: 0.0000 0.5000 0.0000  2 Se 1.87
N: 0.5000 0.0000 0.0000  2 Se 1.87

=====

No. 7
Material: BeSeIN2
Method: DFT, PBE
State: optimized geometry

Distance to the lowest polymorph of the same formula, eV per atom: 0.428
Raw formation energy, eV per atom: 1.905
Total magnetic moment, μB per formula unit: 0.000
SG: P4/mmm (123)

a b c (Å): 3.8610 3.8610 6.8047
angles (deg): 90.00 90.00 90.00
With the nearest neighbours (Å) after each atom.
Fractional coordinates of all 5 atoms:
I: 0.0000 0.0000 0.0000  4 N 1.93
Be: 0.5000 0.5000 0.5000  4 Se 2.73
Se: 0.0000 0.0000 0.5000  4 Be 2.73
N: 0.0000 0.5000 0.0000  2 I 1.93
N: 0.5000 0.0000 0.0000  2 I 1.93

=====

No. 8
Material: BeSeIN2
Method: DFT, PBE
State: optimized geometry

Distance to the lowest polymorph of the same formula, eV per atom: 0.000
Raw formation energy, eV per atom: 1.477
Total magnetic moment, μB per formula unit: 3.937
SG: P4/mmm (123)

a b c (Å): 3.9254 3.9254 5.5688
angles (deg): 90.00 90.00 90.00
With the nearest neighbours (Å) after each atom.
Fractional coordinates of all 5 atoms:
I: 0.5000 0.5000 0.5000  4 Se 2.78
Be: 0.0000 0.0000 0.0000  4 N 1.96
Se: 0.0000 0.0000 0.5000  4 I 2.78, 2 Be 2.78
N: 0.0000 0.5000 0.0000  2 Be 1.96
N: 0.5000 0.0000 0.0000  2 Be 1.96

=====

No. 9
Material: BeSiIN2
Method: DFT, PBE
State: optimized geometry

Distance to the lowest polymorph of the same formula, eV per atom: 0.840
Raw formation energy, eV per atom: 1.555
Total magnetic moment, μB per formula unit: 0.940
SG: P4/mmm (123)

a b c (Å): 3.7249 3.7249 5.4709
angles (deg): 90.00 90.00 90.00
With the nearest neighbours (Å) after each atom.
Fractional coordinates of all 5 atoms:
I: 0.0000 0.0000 0.5000  4 Si 2.63, 2 Be 2.74
Be: 0.0000 0.0000 0.0000  4 N 1.86
Si: 0.5000 0.5000 0.5000  4 I 2.63
N: 0.0000 0.5000 0.0000  2 Be 1.86
N: 0.5000 0.0000 0.0000  2 Be 1.86

=====

No. 10
Material: BeSiIN2
Method: DFT, PBE
State: optimized geometry

Distance to the lowest polymorph of the same formula, eV per atom: 0.000
Raw formation energy, eV per atom: 0.715
Total magnetic moment, μB per formula unit: 0.249
SG: P4/mmm (123)

a b c (Å): 3.4890 3.4890 6.7510
angles (deg): 90.00 90.00 90.00
With the nearest neighbours (Å) after each atom.
Fractional coordinates of all 5 atoms:
I: 0.0000 0.0000 0.5000  4 Be 2.47
Be: 0.5000 0.5000 0.5000  4 I 2.47
Si: 0.0000 0.0000 0.0000  4 N 1.74
N: 0.0000 0.5000 0.0000  2 Si 1.74
N: 0.5000 0.0000 0.0000  2 Si 1.74

=====

No. 11
Material: BeSnI2N
Method: DFT, PBE
State: optimized geometry

Distance to the lowest polymorph of the same formula, eV per atom: 0.000
Raw formation energy, eV per atom: 0.335
Total magnetic moment, μB per formula unit: 1.197
SG: P4/mmm (123)

a b c (Å): 6.1314 6.1314 3.2600
angles (deg): 90.00 90.00 90.00
With the nearest neighbours (Å) after each atom.
Fractional coordinates of all 5 atoms:
I: 0.0000 0.5000 0.0000  2 Be 3.07, 2 I 3.26
I: 0.5000 0.0000 0.0000  2 Be 3.07, 2 I 3.26
Be: 0.0000 0.0000 0.0000  2 N 1.63
Sn: 0.5000 0.5000 0.5000  2 Sn 3.26, 8 I 3.47
N: 0.0000 0.0000 0.5000  2 Be 1.63

=====

No. 12
Material: BeSnIN2
Method: DFT, PBE
State: optimized geometry

Distance to the lowest polymorph of the same formula, eV per atom: 0.000
Raw formation energy, eV per atom: 1.425
Total magnetic moment, μB per formula unit: 3.009
SG: P4/mmm (123)

a b c (Å): 4.1542 4.1542 5.0885
angles (deg): 90.00 90.00 90.00
With the nearest neighbours (Å) after each atom.
Fractional coordinates of all 5 atoms:
I: 0.0000 0.0000 0.5000  2 Be 2.54
Be: 0.0000 0.0000 0.0000  4 N 2.08
Sn: 0.5000 0.5000 0.5000  4 I 2.94, 8 N 3.28
N: 0.0000 0.5000 0.0000  2 Be 2.08
N: 0.5000 0.0000 0.0000  2 Be 2.08

=====

No. 13
Material: BeSnIN2
Method: DFT, PBE
State: optimized geometry

Distance to the lowest polymorph of the same formula, eV per atom: 0.076
Raw formation energy, eV per atom: 1.502
Total magnetic moment, μB per formula unit: 0.000
SG: P4/mmm (123)

a b c (Å): 3.9852 3.9852 7.1029
angles (deg): 90.00 90.00 90.00
With the nearest neighbours (Å) after each atom.
Fractional coordinates of all 5 atoms:
I: 0.0000 0.0000 0.5000  4 Be 2.82
Be: 0.5000 0.5000 0.5000  4 I 2.82
Sn: 0.0000 0.0000 0.0000  4 N 1.99
N: 0.0000 0.5000 0.0000  2 Sn 1.99
N: 0.5000 0.0000 0.0000  2 Sn 1.99

=====

No. 14
Material: BeSnI2N
Method: DFT, PBE
State: optimized geometry

Distance to the lowest polymorph of the same formula, eV per atom: 0.702
Raw formation energy, eV per atom: 1.037
Total magnetic moment, μB per formula unit: 0.002
SG: P4/mmm (123)

a b c (Å): 6.0552 6.0552 3.9009
angles (deg): 90.00 90.00 90.00
With the nearest neighbours (Å) after each atom.
Fractional coordinates of all 5 atoms:
I: 0.0000 0.5000 0.0000  2 Sn 3.03
I: 0.5000 0.0000 0.0000  2 Sn 3.03
Be: 0.5000 0.5000 0.5000  8 I 3.60, 2 Be 3.90
Sn: 0.0000 0.0000 0.0000  2 N 1.95
N: 0.0000 0.0000 0.5000  2 Sn 1.95